w.
Here is CuMo3Ru after structural relaxation from Alexandria. Energies are from GGA-PBE.

Cell lengths 4.446, 4.446, 4.446 Å; angles 90.00, 90.00, 90.00 degrees
Positions (direct):
Cu 0.000 0.000 0.000
Mo 0.000 0.000 0.500
Mo 0.000 0.500 0.000
Mo 0.500 0.000 0.000
Ru 0.500 0.500 0.500

***

x.
Here is CuMo3Ru after structural relaxation from Alexandria. Energies are from GGA-PBE.

Cell lengths 4.667, 4.667, 4.667 Å; angles 90.00, 90.00, 90.00 degrees
Positions (direct):
Cu 0.000 0.000 0.000
Mo 0.000 0.500 0.500
Mo 0.500 0.000 0.500
Mo 0.500 0.500 0.000
Ru 0.500 0.500 0.500

***

In order of decreasing stability: w, x.

***

w.
Here is CuMoRu after structural relaxation from Alexandria. Energies are from GGA-PBE.

Cell lengths 4.306, 4.306, 2.653 Å; angles 90.00, 90.00, 120.00 degrees
Positions (direct):
Cu 0.000 0.000 0.000
Mo 0.667 0.333 0.386
Ru 0.333 0.667 0.649

***

x.
Here is CuMoRu after structural relaxation from Alexandria. Energies are from GGA-PBE.

Cell lengths 4.843, 4.843, 4.843 Å; angles 114.77, 108.03, 105.75 degrees
Positions (direct):
Cu 0.138 0.250 0.388
Cu 0.362 0.750 0.112
Mo 0.250 0.867 0.617
Mo 0.750 0.633 0.883
Ru 0.638 0.388 0.250
Ru 0.862 0.112 0.750

***

y.
Here is CuMoRu after structural relaxation from Alexandria. Energies are from GGA-PBE.

Cell lengths 4.640, 4.640, 4.640 Å; angles 145.25, 131.89, 60.70 degrees
Positions (direct):
Cu 0.000 0.000 0.000
Mo 0.332 0.332 0.000
Ru 0.663 0.663 0.000

***

In order of decreasing stability: y, w, x.

***

w.
Here is CuMoRu after structural relaxation from Alexandria. Energies are from GGA-PBE.

Cell lengths 6.892, 6.709, 2.657 Å; angles 82.63, 74.90, 22.48 degrees
Positions (direct):
Cu 0.000 0.000 0.000
Mo 0.668 0.668 0.332
Ru 0.334 0.334 0.666

***

x.
Here is CuMoRu after structural relaxation from Alexandria. Energies are from GGA-PBE.

Cell lengths 4.141, 4.141, 4.141 Å; angles 60.00, 60.00, 60.00 degrees
Positions (direct):
Cu 0.000 0.000 0.000
Mo 0.500 0.500 0.500
Ru 0.750 0.750 0.750

***

In order of decreasing stability: w, x.